! Tc3AgN, relaxed, DFT PBE; values from VASP
&SYSTEM
  ibrav = 0, nat = 5, ntyp = 3
/
ATOMIC_SPECIES
Tc 98.00 Tc.upf
Ag 107.87 Ag.upf
N 14.01 N.upf
CELL_PARAMETERS angstrom
5.076 0.000 0.000
0.000 5.076 0.000
0.000 0.000 5.076
ATOMIC_POSITIONS crystal
Tc 0.000 0.000 0.500
Tc 0.000 0.500 0.000
Tc 0.500 0.000 0.000
Ag 0.000 0.000 0.000
N 0.500 0.500 0.500
! Size of the total moment   10.097 μB/f.u.
! Energy relative to the elements, uncorrected   3.5259 eV per atom